Here is crystalline PaCuAs at its relaxed geometry from OQMD. Energies are from PBE.

abc: 6.4074 6.4074 6.4074
angles: 90.00 90.00 90.00
Space group F-43m (No. 216)
Symmetry-distinct sites (fractional):
Pa 0.0000 0.0000 0.0000 [4 per cell]
Cu 0.0000 0.0000 0.5000 [4 per cell]
As 0.2500 0.2500 0.7500 [4 per cell]

Calculated total energy (eV per atom): -5.61
Volume (Å³ per cell): 263
Spin magnetization (μB/f.u.): 0.52

Here is crystalline DyErHg2 at its relaxed geometry from OQMD. Energies are from PBE.

abc: 7.3663 10.5114 5.2029
angles: 90.00 90.00 90.00
Space group Cmcm (No. 63)
Symmetry-distinct sites (fractional):
Dy 0.0000 0.1272 0.2500 [4 per cell]
Er 0.0000 0.3753 0.7500 [4 per cell]
Hg 0.2488 0.3770 0.2500 [8 per cell]

ΔH_f (0 K) (eV/atom): -0.482
Offset from the most stable computed form (meV per atom): 0
Volume (Å³ per cell): 403
Spin magnetization (μB/f.u.): 0.00

Here is crystalline DyYGa5 at its relaxed geometry from OQMD. Energies are from PBE.

abc: 4.2196 4.2196 8.4120
angles: 90.00 90.00 90.00
Space group P4/mmm (No. 123)
Symmetry-distinct sites (fractional):
Dy 0.0000 0.0000 0.0000 [1 per cell]
Y 0.0000 0.0000 0.5000 [1 per cell]
Ga 0.0000 0.5000 0.2448 [4 per cell]
Ga 0.5000 0.5000 0.5000 [1 per cell]

Calculated total energy (eV per atom): -4.18
Volume (Å³ per cell): 150
Spin magnetization (μB/f.u.): 0.01

Here is crystalline Cu7Ag3 at its relaxed geometry from OQMD. Energies are from PBE.

abc: 4.5350 2.7407 10.9872
angles: 90.00 91.85 90.00
Space group Pm (No. 6)
Symmetry-distinct sites (fractional):
Cu 0.0000 0.0000 0.0000 [1 per cell]
Cu 0.0978 0.5000 0.8087 [1 per cell]
Cu 0.2308 0.5000 0.3779 [1 per cell]
Cu 0.3652 0.0000 0.1955 [1 per cell]
Cu 0.6043 0.5000 0.5526 [1 per cell]
Cu 0.7391 0.0000 0.3723 [1 per cell]
Cu 0.8760 0.5000 0.1894 [1 per cell]
Ag 0.1042 0.0000 0.5897 [1 per cell]
Ag 0.5008 0.5000 0.9931 [1 per cell]
Ag 0.6021 0.0000 0.7658 [1 per cell]

ΔH_f (0 K) (eV/atom): 0.081
Offset from the most stable computed form (meV per atom): 37
Volume (Å³ per cell): 136

Here is crystalline Hf4CdInN2 at its relaxed geometry from OQMD. Energies are from PBE.

abc: 3.2478 3.2478 14.7366
angles: 90.00 90.00 120.00
Space group P-6m2 (No. 187)
Symmetry-distinct sites (fractional):
Hf 0.0000 0.0000 0.1667 [2 per cell]
Hf 0.3333 0.6667 0.3333 [2 per cell]
Cd 0.3333 0.6667 0.0000 [1 per cell]
In 0.0000 0.0000 0.5000 [1 per cell]
N 0.6667 0.3333 0.2488 [2 per cell]

Calculated total energy (eV per atom): -8.51
Volume (Å³ per cell): 135
Spin magnetization (μB/f.u.): 0.01

Here is crystalline SmEr2Cu4Ge4 at its relaxed geometry from OQMD. Energies are from PBE.

abc: 4.1772 6.7086 13.9154
angles: 90.00 90.00 90.00
Space group Immm (No. 71)
Symmetry-distinct sites (fractional):
Sm 0.0000 0.0000 0.0000 [2 per cell]
Er 0.0000 0.5000 0.1297 [4 per cell]
Cu 0.0000 0.3092 0.3299 [8 per cell]
Ge 0.0000 0.0000 0.2182 [4 per cell]
Ge 0.0000 0.1886 0.5000 [4 per cell]

Calculated total energy (eV per atom): -4.92
Volume (Å³ per cell): 390
Spin magnetization (μB/f.u.): 0.00

Here is crystalline YAg at its relaxed geometry from OQMD. Energies are from PBE.

abc: 5.9797 5.9797 5.9797
angles: 90.00 90.00 90.00
Space group Fm-3m (No. 225)
Symmetry-distinct sites (fractional):
Y 0.0000 0.0000 0.0000 [4 per cell]
Ag 0.0000 0.0000 0.5000 [4 per cell]

ΔH_f (0 K) (eV/atom): -0.098
Volume (Å³ per cell): 214
Spin magnetization (μB/f.u.): 0.00

Here is crystalline SiW2N at its relaxed geometry from OQMD. Energies are from PBE.

abc: 2.8783 2.8783 13.9464
angles: 90.00 90.00 120.00
Space group P6_3/mmc (No. 194)
Symmetry-distinct sites (fractional):
Si 0.3333 0.6667 0.2500 [2 per cell]
W 0.3333 0.6667 0.6037 [4 per cell]
N 0.0000 0.0000 0.0000 [2 per cell]

Offset from the most stable computed form (meV per atom): 144
Volume (Å³ per cell): 100
Spin magnetization (μB/f.u.): 0.00

Here is crystalline Zr2H5 at its relaxed geometry from OQMD. Energies are from PBE.

abc: 3.3891 3.3891 34.4373
angles: 90.00 90.00 120.00
Space group R-3m (No. 166, hexagonal axes)
Symmetry-distinct sites (fractional):
Zr 0.0000 0.0000 0.1223 [6 per cell]
Zr 0.0000 0.0000 0.2930 [6 per cell]
H 0.0000 0.0000 0.0605 [6 per cell]
H 0.0000 0.0000 0.1828 [6 per cell]
H 0.0000 0.0000 0.2357 [6 per cell]
H 0.0000 0.0000 0.3535 [6 per cell]
H 0.0000 0.0000 0.4638 [6 per cell]

Offset from the most stable computed form (meV per atom): 0
Volume (Å³ per cell): 343
Spin magnetization (μB/f.u.): 0.00

Here is crystalline HfBeFeBi at its relaxed geometry from OQMD. Energies are from PBE.

abc: 6.4736 6.4736 6.4736
angles: 90.00 90.00 90.00
Space group F-43m (No. 216)
Symmetry-distinct sites (fractional):
Hf 0.0000 0.0000 0.0000 [4 per cell]
Be 0.2500 0.2500 0.7500 [4 per cell]
Fe 0.0000 0.0000 0.5000 [4 per cell]
Bi 0.2500 0.2500 0.2500 [4 per cell]

Offset from the most stable computed form (meV per atom): 234
Volume (Å³ per cell): 271
Spin magnetization (μB/f.u.): 1.20

Here is crystalline PmYTh at its relaxed geometry from OQMD. Energies are from PBE.

abc: 7.7249 7.7249 7.7249
angles: 90.00 90.00 90.00
Space group F-43m (No. 216)
Symmetry-distinct sites (fractional):
Pm 0.0000 0.0000 0.0000 [4 per cell]
Y 0.2500 0.2500 0.2500 [4 per cell]
Th 0.0000 0.0000 0.5000 [4 per cell]

ΔH_f (0 K) (eV/atom): 0.824
Offset from the most stable computed form (meV per atom): 0
Volume (Å³ per cell): 461
Spin magnetization (μB/f.u.): 0.01

Here is crystalline PaGaBi at its relaxed geometry from OQMD. Energies are from PBE.

abc: 7.1613 7.1613 7.1613
angles: 90.00 90.00 90.00
Space group F-43m (No. 216)
Symmetry-distinct sites (fractional):
Pa 0.0000 0.0000 0.0000 [4 per cell]
Ga 0.2500 0.2500 0.2500 [4 per cell]
Bi 0.2500 0.2500 0.7500 [4 per cell]

Offset from the most stable computed form (meV per atom): 5
Volume (Å³ per cell): 367
Spin magnetization (μB/f.u.): 0.84